# Nd6Sm3HoTm2

A relaxed Nd6Sm3HoTm2 crystal (PBE, the Alexandria database).

Cell: 6.2924 6.2924 11.9184 Å, 95.04 95.04 120.01°
Atoms (fractional coordinates):
Nd1 0.0828 0.4164 0.2463
Nd2 0.7492 0.7492 0.2462
Nd3 0.2508 0.2508 0.7538
Nd4 0.5836 0.9172 0.7537
Nd5 0.9172 0.5836 0.7537
Nd6 0.4164 0.0828 0.2463
Tm1 0.6666 0.3334 0.0000
Tm2 0.3334 0.6666 0.0000
Sm1 0.1667 0.8333 0.5000
Sm2 0.8333 0.1667 0.5000
Sm3 0.5000 0.5000 0.5000
Ho1 0.0000 0.0000 0.0000

Results
The formation energy comes out at 0.015 eV/atom. Its theoretical density is 7.510 g/cm3. Its total DFT energy (no corrections) is -56.11 eV/cell.